VASP calculation (PBE) on Pm4OsPtCl2 after structural relaxation.

abc: 7.112 4.130 7.852
angles: 90.00 107.26 90.00
Space group P2/m (No. 10)
One atom of each set of equivalent atoms:
Pm (0.224, 0.000, 0.207) (multiplicity 2)
Pm (0.257, 0.500, 0.796) (multiplicity 2)
Os (0.000, 0.500, 0.000) (multiplicity 1)
Pt (0.500, 0.000, 0.000) (multiplicity 1)
Cl (0.000, 0.000, 0.500) (multiplicity 1)
Cl (0.500, 0.500, 0.500) (multiplicity 1)

Crystal system: monoclinic
Raw formation energy (eV/atom): -1.095


VASP calculation (PBE) on GaRe2BiIr after structural relaxation.

abc: 4.980 4.980 5.049
angles: 90.00 90.00 90.00
Space group P4/mmm (No. 123)
One atom of each set of equivalent atoms:
Ga (0.000, 0.000, 0.000) (multiplicity 1)
Re (0.000, 0.500, 0.500) (multiplicity 2)
Bi (0.000, 0.000, 0.500) (multiplicity 1)
Ir (0.500, 0.500, 0.000) (multiplicity 1)

Crystal system: tetragonal
E_form (eV per formula unit): 15.3


VASP calculation (PBE) on NaLi2Sn after structural relaxation.

abc: 4.878 4.878 3.598
angles: 90.00 90.00 90.00
Space group P4/mmm (No. 123)
One atom of each set of equivalent atoms:
Na (0.000, 0.000, 0.000) (multiplicity 1)
Li (0.000, 0.500, 0.500) (multiplicity 2)
Sn (0.500, 0.500, 0.000) (multiplicity 1)

Crystal system: tetragonal
E_form (eV per formula unit): -0.8